A plane-wave DFT calculation with SCAN was carried out for a crystal of Si2AgRu relaxed with PBEsol.

Lattice parameters (Å, degrees): 5.5704 5.5704 6.5437 115.19 115.19 90.00
Positions (direct):
Si1 0.4082 0.8750 0.2500
Ru1 0.5000 0.5000 0.0000
Si2 0.1250 0.1582 0.7500
Ag1 0.0000 0.0000 0.0000
Ag2 0.2500 0.7500 0.5000
Si3 0.8418 0.3750 0.2500
Ru2 0.7500 0.2500 0.5000
Si4 0.6250 0.5918 0.7500

Calculated total energy in eV for the cell shown: -168.69
Formation energy without anion corrections in eV per formula unit: 1.880